(1)
Crystalline Rb2ZrAlI6 at its relaxed geometry. Source: Alexandria via LeMat-Bulk, functional PBE-GGA.

```
Rb2ZrAlI6
1.0
-0.330 -1.592 8.437
-7.244 -4.482 -1.129
-0.527 -8.097 2.827
Al I Rb Zr
1 6 2 1
direct
0.500 0.500 0.000
0.759 0.759 0.000
0.241 0.241 0.000
0.241 0.241 0.517
0.759 0.241 0.000
0.241 0.759 0.000
0.759 0.759 0.483
0.750 0.250 0.500
0.250 0.750 0.500
0.000 0.000 0.000
```

Computed properties:
M_tot   0.10 μB per atom
ΔE_f (raw)   -0.89 eV/atom

(2)
Crystalline KTlInAu at its relaxed geometry. Source: Alexandria via LeMat-Bulk, functional PBE-GGA.

```
KTlInAu
1.0
5.373 0.000 0.000
2.687 4.653 0.000
2.687 1.551 4.387
Tl In Au K
1 1 1 1
direct
0.250 0.250 0.250
0.500 0.500 0.500
0.750 0.750 0.750
0.000 0.000 0.000
```

Computed properties:
Energy of formation from the pure elements   -64 meV per atom
E above lowest polymorph   2.74 kcal/mol of atoms
M_tot   0.00 μB per atom

(3)
Crystalline Y2NiRhC at its relaxed geometry. Source: Alexandria via LeMat-Bulk, functional PBE-GGA.

```
Y2NiRhC
1.0
-1.491 -1.514 4.488
1.306 -4.654 -1.136
3.291 0.606 1.298
Rh C Y Ni
1 1 2 1
direct
0.500 0.500 0.500
0.000 0.000 0.000
0.500 0.000 0.000
0.000 0.500 0.000
0.000 0.000 0.500
```

Computed properties:
Energy of formation from the pure elements   -459 meV per atom
E above lowest polymorph   0.00 kcal/mol of atoms
M_tot   0.00 μB per atom